(1)
DFT (meta-GGA SCAN) results for a crystal of BaLiNi relaxed with PBEsol.

Properties
The value obtained for the energy is -18.990 eV per atom. Its space group is F-43m (216).

Lattice parameters (Å, degrees): 4.867 4.867 4.867 60.00 60.00 60.00
Site moments in Bohr magnetons follow the coordinates.
Fractional coordinates of all 3 atoms:
Ba 0.000 0.000 0.000  0.13
Li 0.500 0.500 0.500  0.02
Ni 0.250 0.250 0.250  0.05

***

(2)
DFT (meta-GGA SCAN) results for a crystal of BaLi2Ni relaxed with PBEsol.

Properties
The value obtained for the energy is -14.722 eV per atom. Its space group is Fm-3m (225).

Lattice parameters (Å, degrees): 4.909 4.909 4.909 60.00 60.00 60.00
Fractional coordinates of all 4 atoms:
Ba 0.000 0.000 0.000
Li 0.250 0.250 0.250
Li 0.750 0.750 0.750
Ni 0.500 0.500 0.500

***

(3)
DFT (meta-GGA SCAN) results for a crystal of Ba3LiNi relaxed with PBEsol.

Properties
The value obtained for the energy is -27.355 eV per atom. Its space group is Pm-3m (221).

Lattice parameters (Å, degrees): 6.002 6.002 6.002 90.00 90.00 90.00
Fractional coordinates of all 5 atoms:
Ni 0.000 0.000 0.000
Ba 0.000 0.500 0.000
Ba 0.000 0.000 0.500
Ba 0.500 0.000 0.000
Li 0.500 0.500 0.500

***

(4)
DFT (meta-GGA SCAN) results for a crystal of BaLiNi2 relaxed with PBEsol.

Properties
For the energy above the most stable polymorph in this dataset, the calculation gives 0 meV/atom. Its space group is Cm (8).

Lattice parameters (Å, degrees): 4.095 4.099 5.951 109.96 90.00 119.97
Site moments in Bohr magnetons follow the coordinates.
Fractional coordinates of all 4 atoms:
Ni 0.981 0.962 0.943  0.41
Ni 0.309 0.619 0.929  0.39
Ba 0.512 0.025 0.534  -0.03
Li 0.697 0.395 0.094  -0.01

***

(5)
DFT (meta-GGA SCAN) results for a crystal of Ba2LiO2 relaxed with PBEsol.

Properties
The value obtained for the energy is -20.532 eV per atom. Its space group is I4/mmm (139).

Lattice parameters (Å, degrees): 4.738 4.738 7.471 108.49 108.49 90.00
Fractional coordinates of all 5 atoms:
Ba 0.322 0.322 0.643
Ba 0.678 0.678 0.357
O 0.250 0.750 0.500
O 0.750 0.250 0.500
Li 0.000 0.000 0.000

***

(6)
DFT (meta-GGA SCAN) results for a crystal of Ba3LiOs2O9 relaxed with PBEsol.

Properties
The value obtained for the energy is -23.529 eV per atom. Its space group is P6_3/mmc (194).

Lattice parameters (Å, degrees): 5.794 5.794 14.021 90.00 90.00 120.00
Site moments in Bohr magnetons follow the coordinates.
Fractional coordinates of all 30 atoms:
Ba 0.000 0.000 0.250  0.00
Ba 0.000 0.000 0.750  0.00
Ba 0.333 0.667 0.587  0.01
Ba 0.667 0.333 0.087  0.01
Ba 0.667 0.333 0.413  0.01
Ba 0.333 0.667 0.913  0.01
Li 0.000 0.000 0.500  0.00
Li 0.000 0.000 0.000  0.00
Os 0.333 0.667 0.340  0.92
Os 0.667 0.333 0.840  0.92
Os 0.667 0.333 0.660  0.92
Os 0.333 0.667 0.160  0.92
O 0.012 0.506 0.250  0.02
O 0.506 0.494 0.750  0.02
O 0.506 0.012 0.750  0.02
O 0.494 0.988 0.250  0.02
O 0.494 0.506 0.250  0.02
O 0.988 0.494 0.750  0.02
O 0.649 0.825 0.087  0.11
O 0.825 0.175 0.587  0.11
O 0.825 0.649 0.587  0.11
O 0.175 0.351 0.087  0.11
O 0.175 0.825 0.087  0.11
O 0.351 0.175 0.913  0.11
O 0.825 0.175 0.913  0.11
O 0.351 0.175 0.587  0.11
O 0.825 0.649 0.913  0.11
O 0.175 0.351 0.413  0.11
O 0.649 0.825 0.413  0.11
O 0.175 0.825 0.413  0.11

***

(7)
DFT (meta-GGA SCAN) results for a crystal of Ba3LiRu2O9 relaxed with PBEsol.

Properties
The value obtained for the energy is -18.602 eV per atom. Its space group is P6_3/mmc (194).

Lattice parameters (Å, degrees): 5.752 5.752 14.121 90.00 90.00 120.00
Site moments in Bohr magnetons follow the coordinates.
Fractional coordinates of all 30 atoms:
Ba 0.333 0.667 0.911  0.01
Ba 0.667 0.333 0.411  0.01
Ba 0.667 0.333 0.089  0.01
Ba 0.333 0.667 0.589  0.01
Ba 0.000 0.000 0.250  0.01
Ba 0.000 0.000 0.750  0.01
Li 0.000 0.000 0.500  0.00
Li 0.000 0.000 0.000  0.00
Ru 0.333 0.667 0.153  1.60
Ru 0.667 0.333 0.653  1.60
Ru 0.667 0.333 0.847  1.60
Ru 0.333 0.667 0.347  1.60
O 0.032 0.516 0.250  0.05
O 0.516 0.484 0.750  0.05
O 0.516 0.032 0.750  0.05
O 0.484 0.968 0.250  0.05
O 0.484 0.516 0.250  0.05
O 0.968 0.484 0.750  0.05
O 0.653 0.827 0.085  0.20
O 0.827 0.173 0.585  0.20
O 0.827 0.653 0.585  0.20
O 0.173 0.347 0.085  0.20
O 0.173 0.827 0.085  0.20
O 0.347 0.173 0.915  0.20
O 0.827 0.173 0.915  0.20
O 0.347 0.173 0.585  0.20
O 0.827 0.653 0.915  0.20
O 0.173 0.347 0.415  0.20
O 0.653 0.827 0.415  0.20
O 0.173 0.827 0.415  0.20

***

(8)
DFT (meta-GGA SCAN) results for a crystal of Ba6Li2Ti7Sb9O42 relaxed with PBEsol.

Properties
The value obtained for the energy is -16.911 eV per atom. Its space group is Cm (8).

Lattice parameters (Å, degrees): 9.158 9.158 11.825 90.08 90.08 119.85
Fractional coordinates of all 66 atoms:
Ba 0.402 0.402 0.754
Ba 0.591 0.591 0.247
Ba 0.596 0.001 0.753
Ba 0.402 0.003 0.249
Ba 0.003 0.402 0.249
Ba 0.001 0.596 0.753
Li 0.999 0.999 0.793
Li 0.004 0.004 0.283
Ti 0.250 0.250 0.086
Ti 0.258 0.258 0.399
Ti 0.741 0.741 0.902
Ti 0.740 0.999 0.401
Ti 0.009 0.263 0.908
Ti 0.263 0.009 0.908
Ti 0.999 0.740 0.401
Sb 0.754 0.754 0.585
Sb 0.334 0.667 0.000
Sb 0.333 0.666 0.500
Sb 0.757 0.002 0.084
Sb 0.000 0.243 0.587
Sb 0.243 0.000 0.587
Sb 0.667 0.334 0.000
Sb 0.666 0.333 0.500
Sb 0.002 0.757 0.084
O 0.201 0.201 0.926
O 0.207 0.207 0.572
O 0.206 0.206 0.248
O 0.314 0.484 0.395
O 0.310 0.478 0.100
O 0.799 0.799 0.750
O 0.172 0.489 0.893
O 0.171 0.486 0.606
O 0.800 0.800 0.418
O 0.793 0.793 0.072
O 0.516 0.686 0.897
O 0.512 0.685 0.607
O 0.514 0.827 0.108
O 0.516 0.831 0.397
O 0.802 0.998 0.918
O 0.794 0.999 0.572
O 0.169 0.686 0.396
O 0.169 0.679 0.107
O 0.800 0.001 0.250
O 0.314 0.828 0.607
O 0.316 0.836 0.902
O 0.000 0.196 0.419
O 0.997 0.204 0.072
O 0.001 0.200 0.753
O 0.686 0.169 0.396
O 0.679 0.169 0.107
O 0.200 0.001 0.753
O 0.836 0.316 0.902
O 0.828 0.314 0.607
O 0.196 0.000 0.419
O 0.204 0.997 0.072
O 0.489 0.172 0.893
O 0.486 0.171 0.606
O 0.484 0.314 0.395
O 0.478 0.310 0.100
O 0.831 0.516 0.397
O 0.827 0.514 0.108
O 0.685 0.512 0.607
O 0.686 0.516 0.897
O 0.001 0.800 0.250
O 0.999 0.794 0.572
O 0.998 0.802 0.918

***

(9)
DFT (meta-GGA SCAN) results for a crystal of Ba3LiTi5Sb3O21 relaxed with PBEsol.

Properties
The value obtained for the energy is -16.245 eV per atom. Its space group is Cmc2_1 (36).

Lattice parameters (Å, degrees): 9.053 9.079 11.650 90.00 90.00 119.90
Fractional coordinates of all 66 atoms:
Ba 0.999 0.596 0.749
Ba 0.001 0.404 0.249
Ba 0.403 0.404 0.749
Ba 0.597 0.596 0.249
Ba 0.399 0.000 0.251
Ba 0.601 0.000 0.751
Li 0.997 0.000 0.773
Li 0.003 0.000 0.273
Ti 0.989 0.741 0.404
Ti 0.004 0.752 0.087
Ti 0.996 0.248 0.587
Ti 0.011 0.259 0.904
Ti 0.249 0.259 0.404
Ti 0.252 0.248 0.087
Ti 0.256 0.000 0.912
Ti 0.751 0.741 0.904
Ti 0.748 0.752 0.587
Ti 0.744 0.000 0.412
Sb 0.336 0.667 0.000
Sb 0.331 0.667 0.500
Sb 0.240 0.000 0.586
Sb 0.669 0.333 0.000
Sb 0.664 0.333 0.500
Sb 0.760 0.000 0.086
O 0.003 0.797 0.574
O 0.999 0.795 0.926
O 0.999 0.795 0.249
O 0.168 0.683 0.102
O 0.165 0.685 0.400
O 0.001 0.205 0.749
O 0.319 0.834 0.899
O 0.317 0.830 0.609
O 0.001 0.205 0.426
O 0.997 0.203 0.074
O 0.174 0.489 0.893
O 0.168 0.480 0.601
O 0.315 0.489 0.393
O 0.312 0.480 0.101
O 0.205 0.203 0.574
O 0.203 0.205 0.926
O 0.514 0.834 0.399
O 0.513 0.830 0.109
O 0.204 0.205 0.249
O 0.515 0.683 0.602
O 0.521 0.685 0.900
O 0.197 0.000 0.418
O 0.207 0.000 0.072
O 0.202 0.000 0.752
O 0.485 0.317 0.102
O 0.479 0.315 0.400
O 0.796 0.795 0.749
O 0.486 0.166 0.899
O 0.487 0.170 0.609
O 0.797 0.795 0.426
O 0.795 0.797 0.074
O 0.685 0.511 0.893
O 0.688 0.520 0.601
O 0.826 0.511 0.393
O 0.832 0.520 0.101
O 0.681 0.166 0.399
O 0.683 0.170 0.109
O 0.832 0.317 0.602
O 0.835 0.315 0.900
O 0.798 0.000 0.252
O 0.793 0.000 0.572
O 0.803 0.000 0.918

***

(10)
DFT (meta-GGA SCAN) results for a crystal of Ba4LiTa3O12 relaxed with PBEsol.

Properties
The value obtained for the energy is -24.975 eV per atom. Its space group is P6_3mc (186).

Lattice parameters (Å, degrees): 5.781 5.781 19.083 90.00 90.00 120.00
Fractional coordinates of all 40 atoms:
Ba 0.000 0.000 0.496
Ba 0.000 0.000 0.996
Ba 0.333 0.667 0.355
Ba 0.667 0.333 0.855
Ba 0.333 0.667 0.131
Ba 0.667 0.333 0.631
Ba 0.667 0.333 0.253
Ba 0.333 0.667 0.753
Li 0.000 0.000 0.334
Li 0.000 0.000 0.834
Ta 0.000 0.000 0.190
Ta 0.000 0.000 0.690
Ta 0.333 0.667 0.934
Ta 0.667 0.333 0.434
Ta 0.333 0.667 0.561
Ta 0.667 0.333 0.061
O 0.320 0.160 0.743
O 0.680 0.840 0.243
O 0.160 0.320 0.243
O 0.840 0.160 0.743
O 0.169 0.831 0.621
O 0.831 0.662 0.121
O 0.338 0.169 0.121
O 0.662 0.831 0.621
O 0.169 0.338 0.621
O 0.831 0.169 0.121
O 0.173 0.827 0.882
O 0.827 0.655 0.382
O 0.160 0.840 0.243
O 0.840 0.680 0.743
O 0.499 0.501 0.503
O 0.501 0.002 0.003
O 0.998 0.499 0.003
O 0.002 0.501 0.503
O 0.499 0.998 0.503
O 0.501 0.499 0.003
O 0.827 0.173 0.382
O 0.173 0.345 0.882
O 0.655 0.827 0.882
O 0.345 0.173 0.382

***

(11)
DFT (meta-GGA SCAN) results for a crystal of Ba3LiTa3Ti5O21 relaxed with PBEsol.

Properties
The value obtained for the energy is -19.402 eV per atom. Its space group is Cmc2_1 (36).

Lattice parameters (Å, degrees): 9.062 9.100 11.582 90.00 90.00 119.86
Fractional coordinates of all 66 atoms:
Ba 0.006 0.407 0.251
Ba 0.401 0.000 0.252
Ba 0.599 0.000 0.752
Ba 0.401 0.407 0.751
Ba 0.599 0.593 0.251
Ba 0.994 0.593 0.751
Li 0.992 0.000 0.785
Li 0.008 0.000 0.285
Ta 0.237 0.000 0.589
Ta 0.334 0.668 0.499
Ta 0.333 0.668 0.999
Ta 0.666 0.332 0.999
Ta 0.667 0.332 0.499
Ta 0.763 0.000 0.089
Ti 0.251 0.000 0.914
Ti 0.252 0.259 0.406
Ti 0.249 0.249 0.089
Ti 0.749 0.000 0.414
Ti 0.748 0.741 0.906
Ti 0.751 0.751 0.589
Ti 0.000 0.751 0.089
Ti 0.993 0.741 0.406
Ti 0.007 0.259 0.906
Ti 0.000 0.249 0.589
O 0.995 0.795 0.248
O 0.190 0.000 0.421
O 0.193 0.000 0.751
O 0.167 0.685 0.101
O 0.170 0.690 0.398
O 0.997 0.209 0.074
O 0.002 0.200 0.426
O 0.318 0.836 0.600
O 0.312 0.832 0.897
O 0.168 0.482 0.598
O 0.172 0.486 0.893
O 0.314 0.482 0.098
O 0.314 0.486 0.393
O 0.520 0.832 0.397
O 0.518 0.836 0.100
O 0.198 0.200 0.926
O 0.212 0.209 0.574
O 0.201 0.205 0.248
O 0.518 0.685 0.601
O 0.520 0.690 0.898
O 0.207 0.000 0.075
O 0.807 0.000 0.251
O 0.810 0.000 0.921
O 0.793 0.000 0.575
O 0.482 0.315 0.101
O 0.480 0.310 0.398
O 0.799 0.795 0.748
O 0.788 0.791 0.074
O 0.802 0.800 0.426
O 0.482 0.164 0.600
O 0.480 0.168 0.897
O 0.686 0.518 0.598
O 0.686 0.514 0.893
O 0.828 0.514 0.393
O 0.832 0.518 0.098
O 0.682 0.164 0.100
O 0.688 0.168 0.397
O 0.998 0.800 0.926
O 0.003 0.791 0.574
O 0.830 0.310 0.898
O 0.833 0.315 0.601
O 0.005 0.205 0.748